Material: ScAl2Rh
Method: DFT, PBE
State: optimized geometry

The value obtained for the formation energy is -590 meV/atom. The calculation puts the density of states at the Fermi level at 3.9 states/eV per cell. As for the magnetization: 0.000 μB/cell.

The space group is C2/m (No. 12) and the conventional cell measures 8.967, 3.188 and 4.902 Å, with angles of 90.00, 104.95 and 90.00 degrees. The asymmetric unit holds Sc at (0.000, 0.000, 0.000), Al at (0.231, 0.000, 0.708) and Rh at (0.000, 0.500, 0.500).

Material: CaSb4Os
Method: DFT, PBE
State: optimized geometry

For the raw formation energy, the calculation gives 0.721 eV/atom. The calculation puts the density of states at the Fermi level at 18.9 states/eV per cell. As for the magnetization: 9.415 μB/cell.

The space group is F-43m (No. 216) and the conventional cell measures 8.670, 8.670 and 8.670 Å, with angles of 90.00, 90.00 and 90.00 degrees. The asymmetric unit holds Ca at (0.000, 0.000, 0.000), Sb at (0.124, 0.124, 0.376) and Os at (0.250, 0.250, 0.750).

Material: Tb4OsAu
Method: DFT, PBE
State: optimized geometry

The calculation puts the distance to the lowest polymorph of the same formula at 84 meV/atom. The value obtained for the formation energy is -353 meV/atom. The calculation puts the density of states at the Fermi level at 5.5 states/eV per cell. As for the magnetization: 0.000 μB/cell.

The space group is P4/mmm (No. 123) and the conventional cell measures 4.881, 4.881 and 6.996 Å, with angles of 90.00, 90.00 and 90.00 degrees. The asymmetric unit holds Tb at (0.000, 0.500, 0.237), Os at (0.000, 0.000, 0.000) and Au at (0.500, 0.500, 0.500).

Look up the magnetization of the second one.
9.415 μB/cell